Density functional theory data (PBE) for a relaxed structure of TbGdFe.

The space group is F-43m (No. 216) and the conventional cell measures 6.700, 6.700 and 6.700 Å, with angles of 90.00, 90.00 and 90.00 degrees. The inequivalent atoms are Tb at (0.000, 0.000, 0.000), Gd at (0.250, 0.250, 0.750) and Fe at (0.000, 0.000, 0.500).

For the magnetization, the calculation gives 5.81 Bohr magnetons per cell. The calculation puts the electronic total energy at -58.62 eV per cell.